# TmReO4F, optimized geometry, DFT PBE
# Formation energy from raw total energies: -2497 meV/atom
# Magnetic moment: 1.00 μB per formula unit
data_TmReO4F
_chemical_formula_sum 'Tm2 Re2 O8 F2'
_space_group_name_H-M_alt 'P 1'
_space_group_IT_number 1
_cell_length_a 5.9353
_cell_length_b 5.9353
_cell_length_c 6.9868
_cell_angle_alpha 76.25
_cell_angle_beta 76.25
_cell_angle_gamma 72.24
loop_
_space_group_symop_operation_xyz
'x,y,z'
loop_
_atom_site_label
_atom_site_type_symbol
_atom_site_fract_x
_atom_site_fract_y
_atom_site_fract_z
_atom_site_occupancy
Tm1 Tm 0.1984 0.1984 0.9133 1
Tm2 Tm 0.8016 0.8016 0.0867 1
Re1 Re 0.6464 0.6464 0.7041 1
Re2 Re 0.3536 0.3536 0.2959 1
O1 O 0.2546 0.2546 0.5504 1
O2 O 0.7454 0.7454 0.4496 1
O3 O 0.1073 0.4698 0.1489 1
O4 O 0.5449 0.5449 0.2334 1
O5 O 0.5302 0.8927 0.8511 1
O6 O 0.4698 0.1073 0.1489 1
O7 O 0.4551 0.4551 0.7666 1
O8 O 0.8927 0.5302 0.8511 1
F1 F 0.0072 0.0072 0.1717 1
F2 F 0.9928 0.9928 0.8283 1